Entry 1:
YInHg: relaxed, GGA-PBE.

Values from the calculation:
The volume is 150.3 Å³ per cell. The calculation puts the energy of formation at -426 meV/atom. The density comes out at 8.9 Mg/m³.

```
data_YInHg
_chemical_formula_sum 'Y2 In2 Hg2'
_cell_length_a 3.5646
_cell_length_b 4.9102
_cell_length_c 8.5871
_cell_angle_alpha 90.00
_cell_angle_beta 89.97
_cell_angle_gamma 90.00
_symmetry_space_group_name_H-M 'P 1'
_symmetry_Int_Tables_number 1
_symmetry_space_group_name_Hall 'P 1'
loop_
_atom_site_label
_atom_site_fract_x
_atom_site_fract_y
_atom_site_fract_z
Hg1 0.3858 0.0242 0.4520
Hg2 0.3957 0.0241 0.1209
In1 0.3875 0.5241 0.9541
In2 0.3943 0.5242 0.6188
Y1 0.8909 0.0241 0.7865
Y2 0.8908 0.5241 0.2865
```

Entry 2:
YInHg6: relaxed, GGA-PBE.

Values from the calculation:
The volume is 268.2 Å³ per cell. The calculation puts the energy of formation at 77 meV/atom. The density comes out at 8.7 Mg/m³. The energy relative to the lowest polymorph listed for this composition comes out at 0.1649 eV per atom.

```
data_YInHg6
_chemical_formula_sum 'Y1 In1 Hg6'
_cell_length_a 6.2924
_cell_length_b 6.2924
_cell_length_c 8.6251
_cell_angle_alpha 68.61
_cell_angle_beta 68.61
_cell_angle_gamma 60.00
_symmetry_space_group_name_H-M 'P 1'
_symmetry_Int_Tables_number 1
_symmetry_space_group_name_Hall 'P 1'
loop_
_atom_site_label
_atom_site_fract_x
_atom_site_fract_y
_atom_site_fract_z
In1 0.5000 0.5000 0.5000
Hg1 0.0709 0.0709 0.3042
Hg2 0.9291 0.4461 0.6958
Hg3 0.0709 0.5539 0.3042
Hg4 0.9291 0.9291 0.6958
Hg5 0.4461 0.9291 0.6958
Hg6 0.5539 0.0709 0.3042
Y1 0.0000 0.0000 0.0000
```

Entry 3:
YIn3Hg: relaxed, GGA-PBE.

Values from the calculation:
The volume is 296.8 Å³ per cell. The calculation puts the energy of formation at -93 meV/atom. The density comes out at 7.1 Mg/m³. The energy relative to the lowest polymorph listed for this composition comes out at 0.0000 eV per atom.

```
data_YIn3Hg
_chemical_formula_sum 'Y2 In6 Hg2'
_cell_length_a 5.6882
_cell_length_b 7.2591
_cell_length_c 7.2589
_cell_angle_alpha 98.05
_cell_angle_beta 90.00
_cell_angle_gamma 90.00
_symmetry_space_group_name_H-M 'P 1'
_symmetry_Int_Tables_number 1
_symmetry_space_group_name_Hall 'P 1'
loop_
_atom_site_label
_atom_site_fract_x
_atom_site_fract_y
_atom_site_fract_z
In1 0.5000 0.0000 0.0000
In2 0.2500 0.9725 0.3733
In3 0.7500 0.3733 0.9725
In4 0.7500 0.0275 0.6267
In5 0.2500 0.6267 0.0275
In6 0.0000 0.0000 0.0000
Hg1 0.7500 0.4428 0.5572
Hg2 0.2500 0.5572 0.4428
Y1 0.2500 0.2724 0.7276
Y2 0.7500 0.7276 0.2724
```

Entry 4:
YInHg3: relaxed, GGA-PBE.

Values from the calculation:
The volume is 200.8 Å³ per cell. The calculation puts the energy of formation at 362 meV/atom. The density comes out at 6.7 Mg/m³. The energy relative to the lowest polymorph listed for this composition comes out at 0.5535 eV per atom.

```
data_YInHg3
_chemical_formula_sum 'Y1 In1 Hg3'
_cell_length_a 5.8554
_cell_length_b 5.8554
_cell_length_c 5.8554
_cell_angle_alpha 90.00
_cell_angle_beta 90.00
_cell_angle_gamma 90.00
_symmetry_space_group_name_H-M 'P 1'
_symmetry_Int_Tables_number 1
_symmetry_space_group_name_Hall 'P 1'
loop_
_atom_site_label
_atom_site_fract_x
_atom_site_fract_y
_atom_site_fract_z
Hg1 0.5000 0.0000 0.0000
Hg2 0.0000 0.0000 0.5000
Hg3 0.0000 0.5000 0.0000
Y1 0.0000 0.0000 0.0000
In1 0.5000 0.5000 0.5000
```

Entry 5:
YIn3Hg3: relaxed, GGA-PBE.

Values from the calculation:
The volume is 376.5 Å³ per cell. The calculation puts the energy of formation at -151 meV/atom. The density comes out at 9.1 Mg/m³. The energy relative to the lowest polymorph listed for this composition comes out at 0.0000 eV per atom.

```
data_YIn3Hg3
_chemical_formula_sum 'Y2 In6 Hg6'
_cell_length_a 6.6302
_cell_length_b 6.6302
_cell_length_c 8.7431
_cell_angle_alpha 89.48
_cell_angle_beta 89.48
_cell_angle_gamma 78.45
_symmetry_space_group_name_H-M 'P 1'
_symmetry_Int_Tables_number 1
_symmetry_space_group_name_Hall 'P 1'
loop_
_atom_site_label
_atom_site_fract_x
_atom_site_fract_y
_atom_site_fract_z
In1 0.7042 0.2958 0.5000
In2 0.2415 0.2415 0.4517
In3 0.2958 0.7042 0.5000
In4 0.6840 0.3160 0.0000
In5 0.3160 0.6840 0.0000
In6 0.7585 0.7585 0.5483
Hg1 0.0238 0.0238 0.7307
Hg2 0.0665 0.4854 0.7505
Hg3 0.9762 0.9762 0.2693
Hg4 0.4854 0.0665 0.7505
Hg5 0.9335 0.5146 0.2495
Hg6 0.5146 0.9335 0.2495
Y1 0.8004 0.8004 0.9691
Y2 0.1996 0.1996 0.0309
```

Entry 6:
Y2In3Hg4: relaxed, GGA-PBE.

Values from the calculation:
The volume is 225.0 Å³ per cell. The calculation puts the energy of formation at -298 meV/atom. The density comes out at 9.8 Mg/m³. The energy relative to the lowest polymorph listed for this composition comes out at 0.0000 eV per atom.

```
data_Y2In3Hg4
_chemical_formula_sum 'Y2 In3 Hg4'
_cell_length_a 5.1392
_cell_length_b 5.1369
_cell_length_c 10.3771
_cell_angle_alpha 96.13
_cell_angle_beta 96.10
_cell_angle_gamma 55.84
_symmetry_space_group_name_H-M 'P 1'
_symmetry_Int_Tables_number 1
_symmetry_space_group_name_Hall 'P 1'
loop_
_atom_site_label
_atom_site_fract_x
_atom_site_fract_y
_atom_site_fract_z
Y1 0.6714 0.6718 0.2179
Y2 0.3286 0.3282 0.7821
In1 0.0000 0.0000 0.0000
In2 0.3347 0.3348 0.4375
In3 0.6653 0.6652 0.5625
Hg1 0.6632 0.6628 0.8944
Hg2 0.3368 0.3372 0.1056
Hg3 0.9961 0.9958 0.6669
Hg4 0.0039 0.0042 0.3331
```

Entry 7:
Y3InHg12: relaxed, GGA-PBE.

Values from the calculation:
The volume is 394.9 Å³ per cell. The calculation puts the energy of formation at -247 meV/atom. The density comes out at 11.7 Mg/m³.

```
data_Y3InHg12
_chemical_formula_sum 'Y3 In1 Hg12'
_cell_length_a 4.6245
_cell_length_b 4.6245
_cell_length_c 18.4649
_cell_angle_alpha 90.00
_cell_angle_beta 90.00
_cell_angle_gamma 90.00
_symmetry_space_group_name_H-M 'P 1'
_symmetry_Int_Tables_number 1
_symmetry_space_group_name_Hall 'P 1'
loop_
_atom_site_label
_atom_site_fract_x
_atom_site_fract_y
_atom_site_fract_z
Hg1 0.5000 0.5000 0.0000
Hg2 0.5000 0.5000 0.7454
Hg3 0.0000 0.5000 0.3754
Hg4 0.5000 0.0000 0.3754
Hg5 0.0000 0.5000 0.1254
Hg6 0.5000 0.0000 0.1254
Hg7 0.0000 0.5000 0.6246
Hg8 0.5000 0.0000 0.6246
Hg9 0.0000 0.5000 0.8746
Hg10 0.5000 0.0000 0.8746
Hg11 0.5000 0.5000 0.2546
Hg12 0.5000 0.5000 0.5000
In1 0.0000 0.0000 0.0000
Y1 0.0000 0.0000 0.7560
Y2 0.0000 0.0000 0.5000
Y3 0.0000 0.0000 0.2440
```

Entry 8:
Y5InHg2: relaxed, GGA-PBE.

Values from the calculation:
The volume is 452.3 Å³ per cell. The calculation puts the energy of formation at -403 meV/atom. The density comes out at 7.1 Mg/m³.

```
data_Y5InHg2
_chemical_formula_sum 'Y10 In2 Hg4'
_cell_length_a 8.2856
_cell_length_b 8.2856
_cell_length_c 8.8162
_cell_angle_alpha 118.03
_cell_angle_beta 118.03
_cell_angle_gamma 90.00
_symmetry_space_group_name_H-M 'P 1'
_symmetry_Int_Tables_number 1
_symmetry_space_group_name_Hall 'P 1'
loop_
_atom_site_label
_atom_site_fract_x
_atom_site_fract_y
_atom_site_fract_z
Y1 0.6953 0.1953 0.7010
Y2 0.0000 0.0000 0.0000
Y3 0.1953 0.0056 0.7010
Y4 0.5000 0.5000 0.0000
Y5 0.0056 0.5056 0.7010
Y6 0.8047 0.9944 0.2990
Y7 0.3047 0.8047 0.2990
Y8 0.9944 0.4944 0.2990
Y9 0.5056 0.6953 0.7010
Y10 0.4944 0.3047 0.2990
Hg1 0.1388 0.3612 0.0000
Hg2 0.8612 0.6388 0.0000
Hg3 0.3612 0.8612 0.0000
Hg4 0.6388 0.1388 0.0000
In1 0.2500 0.2500 0.5000
In2 0.7500 0.7500 0.5000
```